Run w
## FeReSb2 (PBE-GGA)

Data for FeReSb2 after structural relaxation.

```
FeReSb2
1.0
3.053 0.000 0.000
0.000 3.053 0.000
0.000 0.000 8.729
Fe Re Sb
1 1 2
Cartesian
0.000 0.000 0.000
1.527 1.527 1.428
0.000 0.000 3.333
1.527 1.527 7.038
```

* SG: No. 99
* theoretical density: 9.908 g cm⁻³
* D(E_F): 0.5090 states/eV per atom

Run x
## FeReSb2 (PBE-GGA)

Data for FeReSb2 after structural relaxation.

```
FeReSb2
1.0
6.697 0.000 0.000
0.000 6.697 0.000
0.000 0.000 6.697
Fe Re Sb
4 4 8
Cartesian
0.000 0.000 0.000
0.000 3.349 3.349
3.349 0.000 3.349
3.349 3.349 0.000
1.674 1.674 1.674
1.674 5.023 5.023
5.023 1.674 5.023
5.023 5.023 1.674
0.000 0.000 3.349
0.000 3.349 0.000
1.674 1.674 5.023
1.674 5.023 1.674
3.349 0.000 0.000
3.349 3.349 3.349
5.023 1.674 1.674
5.023 5.023 5.023
```

* SG: No. 216
* theoretical density: 10.738 g cm⁻³
* D(E_F): 0.9424 states/eV per atom

Run y
## FeReSb2 (PBE-GGA)

Data for FeReSb2 after structural relaxation.

```
FeReSb2
1.0
3.040 0.000 0.000
0.000 4.112 0.000
0.000 0.000 11.925
Fe Re Sb
2 2 4
Cartesian
0.000 0.000 0.000
1.520 2.056 5.963
0.000 2.056 8.194
1.520 0.000 2.231
0.000 0.000 6.409
0.000 2.056 3.577
1.520 0.000 9.540
1.520 2.056 0.446
```

* SG: No. 44
* theoretical density: 10.817 g cm⁻³
* D(E_F): 1.1336 states/eV per atom

Run z
## FeReSb2 (PBE-GGA)

Data for FeReSb2 after structural relaxation.

```
FeReSb2
1.0
3.216 0.000 0.000
-1.608 2.785 0.000
0.000 0.000 24.292
Fe Re Sb
3 3 6
Cartesian
0.000 0.000 0.000
0.000 1.857 16.194
1.608 0.928 8.097
0.000 0.000 12.146
0.000 1.857 4.049
1.608 0.928 20.243
0.000 0.000 6.120
0.000 0.000 18.171
0.000 1.857 10.074
0.000 1.857 22.315
1.608 0.928 1.977
1.608 0.928 14.218
```

* SG: No. 166
* theoretical density: 11.119 g cm⁻³
* D(E_F): 1.0171 states/eV per atom

Most stable structure, least stable structure: run w, run x.

Run w
## FeReSb2 (PBE-GGA)

Data for FeReSb2 after structural relaxation.

```
FeReSb2
1.0
6.481 0.000 0.000
0.000 6.481 0.000
0.000 0.000 6.481
Fe Re Sb
4 4 8
Cartesian
0.000 0.000 0.000
0.000 3.240 3.240
3.240 0.000 3.240
3.240 3.240 0.000
0.000 0.000 3.240
0.000 3.240 0.000
3.240 0.000 0.000
3.240 3.240 3.240
1.620 1.620 1.620
1.620 1.620 4.861
1.620 4.861 1.620
1.620 4.861 4.861
4.861 1.620 1.620
4.861 1.620 4.861
4.861 4.861 1.620
4.861 4.861 4.861
```

* SG: No. 225
* theoretical density: 11.848 g cm⁻³
* D(E_F): 1.0616 states/eV per atom

Run x
## FeReSb2 (PBE-GGA)

Data for FeReSb2 after structural relaxation.

```
FeReSb2
1.0
6.033 0.000 0.000
0.000 6.033 0.000
0.000 0.000 11.856
Fe Re Sb
4 4 8
Cartesian
0.000 0.000 0.000
0.000 3.016 2.964
3.016 0.000 8.892
3.016 3.016 5.928
0.000 0.000 5.928
0.000 3.016 8.892
3.016 0.000 2.964
3.016 3.016 0.000
1.502 1.508 7.410
1.508 4.519 10.374
1.508 4.531 4.446
1.514 1.508 1.482
4.519 4.525 1.482
4.525 1.502 4.446
4.525 1.514 10.374
4.531 4.525 7.410
```

* SG: No. 122
* theoretical density: 7.474 g cm⁻³
* D(E_F): 1.4315 states/eV per atom

Most stable structure, least stable structure: run w, run x.